Entry 1:
{"formula": "KCdN2F", "functional": "meta-GGA SCAN", "state": "PBEsol geometry", "lattice_angstrom": [[-1.927, 4.157, 1.010], [-4.787, -1.823, -1.633], [-1.054, -1.701, 4.990]], "species": ["N", "N", "K", "F", "Cd"], "frac_coords": [[0.000, 0.000, 0.500], [0.000, 0.500, 0.000], [0.000, 0.000, 0.000], [0.500, 0.000, 0.000], [0.500, 0.500, 0.500]], "total_magnetization_mub_per_fu": 6.0, "raw_formation_energy_ev_per_atom": 1.070, "total_energy_ev_per_atom": -11.10, "crystal_system": "tetragonal", "spacegroup": "No. 123"}

---

Entry 2:
{"formula": "KCd2NiF", "functional": "meta-GGA SCAN", "state": "PBEsol geometry", "lattice_angstrom": [[-1.558, -2.848, -3.493], [2.716, -3.543, 1.677], [-4.536, -1.817, 3.505]], "species": ["Ni", "K", "F", "Cd", "Cd"], "frac_coords": [[0.000, 0.000, 0.000], [0.000, 0.000, 0.500], [0.500, 0.500, 0.500], [0.000, 0.500, 0.000], [0.500, 0.000, 0.000]], "total_magnetization_mub_per_fu": 0.1, "raw_formation_energy_ev_per_atom": -0.308, "total_energy_ev_per_atom": -18.08, "crystal_system": "tetragonal", "spacegroup": "No. 123"}

---

Entry 3:
{"formula": "KCdOF2", "functional": "meta-GGA SCAN", "state": "PBEsol geometry", "lattice_angstrom": [[-2.690, 1.791, -3.155], [-3.564, -0.573, 2.714], [0.680, 4.133, 1.765]], "species": ["K", "F", "F", "O", "Cd"], "frac_coords": [[0.000, 0.000, 0.000], [0.000, 0.500, 0.000], [0.500, 0.000, 0.000], [0.000, 0.000, 0.500], [0.500, 0.500, 0.500]], "total_magnetization_mub_per_fu": 1.0, "raw_formation_energy_ev_per_atom": -0.818, "total_energy_ev_per_atom": -11.23, "crystal_system": "tetragonal", "spacegroup": "No. 123"}

---

Entry 4:
{"formula": "La2CdF2", "functional": "meta-GGA SCAN", "state": "PBEsol geometry", "lattice_angstrom": [[3.904, 0.000, 0.000], [0.000, 3.904, 0.000], [-1.952, -1.952, 7.105]], "species": ["Cd", "La", "La", "F", "F"], "frac_coords": [[0.000, 0.000, 0.000], [0.362, 0.362, 0.724], [0.638, 0.638, 0.276], [0.250, 0.750, 0.500], [0.750, 0.250, 0.500]], "total_magnetization_mub_per_fu": 0.0, "raw_formation_energy_ev_per_atom": -2.511, "total_energy_ev_per_atom": -27.25, "crystal_system": "tetragonal", "spacegroup": "No. 139"}

---

Entry 5:
{"formula": "LaCdPdF2", "functional": "meta-GGA SCAN", "state": "PBEsol geometry", "lattice_angstrom": [[4.145, 0.000, 0.000], [0.000, 4.145, 0.000], [0.000, 0.000, 8.444]], "species": ["F", "F", "Cd", "Pd", "La"], "frac_coords": [[0.000, 0.500, 0.000], [0.500, 0.000, 0.000], [0.000, 0.000, 0.000], [0.500, 0.500, 0.500], [0.000, 0.000, 0.500]], "total_magnetization_mub_per_fu": 0.0, "raw_formation_energy_ev_per_atom": -1.122, "total_energy_ev_per_atom": -23.80, "crystal_system": "tetragonal", "spacegroup": "No. 123"}

---

Entry 6:
{"formula": "LiCdNF2", "functional": "meta-GGA SCAN", "state": "PBEsol geometry", "lattice_angstrom": [[-1.001, 2.203, -2.650], [-3.440, -0.805, 0.630], [-0.239, 3.129, 2.692]], "species": ["N", "F", "F", "Li", "Cd"], "frac_coords": [[0.000, 0.000, 0.500], [0.000, 0.500, 0.000], [0.500, 0.000, 0.000], [0.000, 0.000, 0.000], [0.500, 0.500, 0.500]], "total_magnetization_mub_per_fu": 2.0, "raw_formation_energy_ev_per_atom": -0.990, "total_energy_ev_per_atom": -10.83, "crystal_system": "tetragonal", "spacegroup": "No. 123"}

---

Entry 7:
{"formula": "LiCdN2F", "functional": "meta-GGA SCAN", "state": "PBEsol geometry", "lattice_angstrom": [[-0.930, 1.506, -3.811], [-4.096, -0.452, 0.821], [-0.125, 4.226, 1.700]], "species": ["N", "N", "F", "Li", "Cd"], "frac_coords": [[0.000, 0.500, 0.000], [0.500, 0.000, 0.000], [0.000, 0.000, 0.500], [0.500, 0.500, 0.500], [0.000, 0.000, 0.000]], "total_magnetization_mub_per_fu": 3.5, "raw_formation_energy_ev_per_atom": 0.556, "total_energy_ev_per_atom": -10.43, "crystal_system": "tetragonal", "spacegroup": "No. 123"}

---

Entry 8:
{"formula": "LiCdOF2", "functional": "meta-GGA SCAN", "state": "PBEsol geometry", "lattice_angstrom": [[-0.436, -3.501, 2.081], [-1.959, -1.799, -3.437], [3.852, -1.361, -1.483]], "species": ["F", "F", "Li", "O", "Cd"], "frac_coords": [[0.000, 0.000, 0.500], [0.000, 0.500, 0.000], [0.500, 0.500, 0.500], [0.500, 0.000, 0.000], [0.000, 0.000, 0.000]], "total_magnetization_mub_per_fu": 0.6, "raw_formation_energy_ev_per_atom": -1.500, "total_energy_ev_per_atom": -10.72, "crystal_system": "tetragonal", "spacegroup": "No. 123"}

---

Entry 9:
{"formula": "LiTlCdF2", "functional": "meta-GGA SCAN", "state": "PBEsol geometry", "lattice_angstrom": [[4.289, 0.000, 0.000], [0.000, 4.289, 0.000], [0.000, 0.000, 5.816]], "species": ["Tl", "F", "F", "Li", "Cd"], "frac_coords": [[0.500, 0.500, 0.500], [0.000, 0.500, 0.000], [0.500, 0.000, 0.000], [0.000, 0.000, 0.500], [0.000, 0.000, 0.000]], "total_magnetization_mub_per_fu": 0.0, "raw_formation_energy_ev_per_atom": -1.119, "total_energy_ev_per_atom": -23.57, "crystal_system": "tetragonal", "spacegroup": "No. 123"}

---

Entry 10:
{"formula": "LiVCdF6", "functional": "meta-GGA SCAN", "state": "PBEsol geometry", "lattice_angstrom": [[5.117, 0.000, 0.000], [-2.559, 4.432, 0.000], [0.000, 0.000, 9.571]], "species": ["Li", "Li", "V", "V", "Cd", "Cd", "F", "F", "F", "F", "F", "F", "F", "F", "F", "F", "F", "F"], "frac_coords": [[0.667, 0.333, 0.250], [0.333, 0.667, 0.750], [0.333, 0.667, 0.250], [0.667, 0.333, 0.750], [0.000, 0.000, 0.500], [0.000, 0.000, 0.000], [0.350, 0.361, 0.362], [0.650, 0.639, 0.638], [0.011, 0.650, 0.362], [0.350, 0.989, 0.138], [0.989, 0.350, 0.638], [0.650, 0.011, 0.862], [0.639, 0.989, 0.362], [0.011, 0.361, 0.138], [0.361, 0.011, 0.638], [0.989, 0.639, 0.862], [0.639, 0.650, 0.138], [0.361, 0.350, 0.862]], "total_magnetization_mub_per_fu": 2.0, "raw_formation_energy_ev_per_atom": -2.948, "total_energy_ev_per_atom": -10.90, "crystal_system": "trigonal", "spacegroup": "No. 163"}

---

Entry 11:
{"formula": "MnCdF3", "functional": "meta-GGA SCAN", "state": "PBEsol geometry", "lattice_angstrom": [[-1.852, 3.025, -2.546], [-3.035, -2.890, -1.226], [-2.534, 1.250, 3.328]], "species": ["F", "F", "F", "Mn", "Cd"], "frac_coords": [[0.000, 0.500, 0.000], [0.000, 0.000, 0.500], [0.500, 0.000, 0.000], [0.500, 0.500, 0.500], [0.000, 0.000, 0.000]], "total_magnetization_mub_per_fu": 6.0, "raw_formation_energy_ev_per_atom": -1.733, "total_energy_ev_per_atom": -13.59, "crystal_system": "cubic", "spacegroup": "No. 221"}

---

Entry 12:
{"formula": "MnCdN2F", "functional": "meta-GGA SCAN", "state": "PBEsol geometry", "lattice_angstrom": [[4.144, 0.000, 0.000], [0.000, 4.144, 0.000], [0.000, 0.000, 4.229]], "species": ["N", "N", "F", "Mn", "Cd"], "frac_coords": [[0.000, 0.500, 0.000], [0.500, 0.000, 0.000], [0.000, 0.000, 0.500], [0.500, 0.500, 0.500], [0.000, 0.000, 0.000]], "total_magnetization_mub_per_fu": 2.7, "raw_formation_energy_ev_per_atom": 0.784, "total_energy_ev_per_atom": -13.37, "relative_energy_ev_per_atom": 0.9259, "crystal_system": "tetragonal", "spacegroup": "No. 123"}